A plane-wave DFT calculation with PBE was carried out for an optimized crystal structure of Ac2ZnReO8.

Geometry as POSCAR:
```
Ac2ZnReO8
1.0
4.4001 0.0000 0.0000
0.6388 5.4050 0.0000
0.6136 0.8951 7.4361
Ac Zn Re O
2 1 1 8
Cartesian
0.9276 0.2517 1.7692
4.7248 6.0484 5.6669
2.5194 2.7025 0.0000
2.8262 3.1500 3.7181
1.6871 4.5992 4.0955
2.3993 5.2625 7.0536
1.8644 1.9593 4.8107
1.7773 2.7439 2.1389
3.8751 3.5562 5.2973
3.7880 4.3408 2.6254
3.2531 1.0375 0.3825
3.9653 1.7009 3.3406
```

E_form (uncorrected) = -2164 meV per atom
raw total energy = -87.57 eV for the cell shown
volume = 176.8 Å³ per cell


A plane-wave DFT calculation with PBE was carried out for an optimized crystal structure of DyIn2Pt2.

Geometry as POSCAR:
```
DyIn2Pt2
1.0
4.7996 0.0000 0.0000
-2.3998 4.1566 0.0000
0.0000 0.0000 5.5464
Dy In Pt
1 2 2
Cartesian
0.0000 0.0000 0.0000
0.0000 2.7711 1.9126
2.3998 1.3855 3.6338
0.0000 2.7711 4.6092
2.3998 1.3855 0.9372
```

calculated formation energy = -0.80 eV/atom
raw total energy = -26.15 eV for the cell shown
volume = 110.7 Å³ per cell


A plane-wave DFT calculation with PBE was carried out for an optimized crystal structure of LiTeOF2.

Geometry as POSCAR:
```
LiTeOF2
1.0
4.7399 0.0000 0.0000
0.0000 4.7399 0.0000
0.0000 0.0000 4.1235
Li Te O F
1 1 1 2
Cartesian
0.0000 0.0000 0.0000
2.3699 2.3699 2.0617
2.3699 2.3699 0.0000
0.0000 2.3699 2.0617
2.3699 0.0000 2.0617
```

E_form (uncorrected) = -1350 meV per atom
raw total energy = -20.51 eV for the cell shown
volume = 92.6 Å³ per cell